Entry 1:
VASP calculation (GGA-PBE) on crystalline Sc2MoAs at its relaxed geometry.

Results
ΔH_f (0 K) = 0.194 eV per atom

a b c (Å): 9.863 9.863 9.863
angles (deg): 18.53 18.53 18.53
Element x y z (fractional)
Sc 0.094 0.094 0.094
Sc 0.906 0.906 0.906
Mo 0.500 0.500 0.500
As 0.000 0.000 0.000

=====

Entry 2:
VASP calculation (GGA-PBE) on crystalline Sc2MoAs at its relaxed geometry.

Results
ΔH_f (0 K) = -0.419 eV per atom

a b c (Å): 4.133 5.438 5.438
angles (deg): 39.29 90.00 90.00
Element x y z (fractional)
Sc 0.000 0.000 0.000
Sc 0.500 0.287 0.287
Mo 0.000 0.724 0.724
As 0.500 0.570 0.570

=====

Entry 3:
VASP calculation (GGA-PBE) on crystalline ScMoAs2 at its relaxed geometry.

Results
ΔE to the lowest computed polymorph = 0.4866 eV per atom
ΔH_f (0 K) = -0.126 eV per atom

a b c (Å): 2.929 2.929 9.910
angles (deg): 90.00 90.00 105.56
Element x y z (fractional)
Sc 0.000 0.000 0.000
Mo 0.500 0.500 0.770
As 0.000 0.000 0.583
As 0.500 0.500 0.215

=====

Entry 4:
VASP calculation (GGA-PBE) on crystalline ScMo2As at its relaxed geometry.

Results
ΔH_f (0 K) = -0.012 eV per atom

a b c (Å): 8.375 8.375 8.375
angles (deg): 21.91 21.91 21.91
Element x y z (fractional)
Sc 0.000 0.000 0.000
Mo 0.500 0.500 0.500
Mo 0.756 0.756 0.756
As 0.242 0.242 0.242

=====

Entry 5:
VASP calculation (GGA-PBE) on crystalline Sc2MoAs at its relaxed geometry.

Results
ΔH_f (0 K) = 0.110 eV per atom

a b c (Å): 5.998 5.998 5.998
angles (deg): 102.06 102.06 125.60
Element x y z (fractional)
Sc 0.108 0.625 0.983
Sc 0.375 0.358 0.483
Sc 0.642 0.125 0.017
Sc 0.875 0.892 0.517
Mo 0.250 0.750 0.500
Mo 0.500 0.500 0.000
As 0.000 0.000 0.000
As 0.750 0.250 0.500

=====

Entry 6:
VASP calculation (GGA-PBE) on crystalline ScMoAs2 at its relaxed geometry.

Results
ΔE to the lowest computed polymorph = 0.2348 eV per atom
ΔH_f (0 K) = -0.377 eV per atom

a b c (Å): 4.572 4.572 3.241
angles (deg): 90.00 90.00 90.00
Element x y z (fractional)
Sc 0.000 0.000 0.000
Mo 0.500 0.500 0.000
As 0.000 0.500 0.500
As 0.500 0.000 0.500

=====

Entry 7:
VASP calculation (GGA-PBE) on crystalline ScMoAs2 at its relaxed geometry.

Results
ΔE to the lowest computed polymorph = 0.1148 eV per atom
ΔH_f (0 K) = -0.497 eV per atom

a b c (Å): 3.179 3.190 6.718
angles (deg): 90.00 90.09 90.00
Element x y z (fractional)
Sc 0.000 0.000 0.000
Mo 0.000 0.000 0.500
As 0.499 0.500 0.278
As 0.501 0.500 0.722

=====

Entry 8:
VASP calculation (GGA-PBE) on crystalline ScMo2As at its relaxed geometry.

Results
ΔH_f (0 K) = -0.115 eV per atom

a b c (Å): 5.069 5.069 4.467
angles (deg): 103.76 103.76 37.80
Element x y z (fractional)
Sc 0.000 0.000 0.000
Mo 0.239 0.239 0.713
Mo 0.761 0.761 0.287
As 0.500 0.500 0.500

=====

Entry 9:
VASP calculation (GGA-PBE) on crystalline ScMo2As at its relaxed geometry.

Results
ΔH_f (0 K) = -0.114 eV per atom

a b c (Å): 3.857 3.857 4.455
angles (deg): 90.00 90.00 90.00
Element x y z (fractional)
Sc 0.000 0.000 0.000
Mo 0.000 0.500 0.500
Mo 0.500 0.000 0.500
As 0.500 0.500 0.000

=====

Entry 10:
VASP calculation (GGA-PBE) on crystalline ScMoAs3 at its relaxed geometry.

Results
ΔE to the lowest computed polymorph = 0.0000 eV per atom
ΔH_f (0 K) = 0.222 eV per atom

a b c (Å): 4.877 4.877 4.877
angles (deg): 90.00 90.00 90.00
Element x y z (fractional)
Sc 0.000 0.000 0.000
Mo 0.500 0.500 0.500
As 0.000 0.500 0.500
As 0.500 0.000 0.500
As 0.500 0.500 0.000

=====

Entry 11:
VASP calculation (GGA-PBE) on crystalline ScMoAs2Se at its relaxed geometry.

Results
ΔE to the lowest computed polymorph = 0.5034 eV per atom
Uncorrected formation energy = 638 meV/atom

a b c (Å): 5.052 5.052 5.040
angles (deg): 90.00 90.00 90.00
Element x y z (fractional)
Sc 0.000 0.000 0.000
Mo 0.500 0.500 0.500
As 0.000 0.500 0.000
As 0.500 0.000 0.000
Se 0.000 0.000 0.500

=====

Entry 12:
VASP calculation (GGA-PBE) on crystalline ScMoAs2Se at its relaxed geometry.

Results
ΔE to the lowest computed polymorph = 0.0000 eV per atom
Uncorrected formation energy = 134 meV/atom

a b c (Å): 4.771 4.771 5.234
angles (deg): 90.00 90.00 90.00
Element x y z (fractional)
Sc 0.000 0.000 0.000
Mo 0.500 0.500 0.500
As 0.000 0.500 0.500
As 0.500 0.000 0.500
Se 0.500 0.500 0.000

=====

Entry 13:
VASP calculation (GGA-PBE) on crystalline ScTiMo2As at its relaxed geometry.

Results
ΔH_f (0 K) = 1.662 eV per atom

a b c (Å): 4.623 4.623 4.735
angles (deg): 90.00 90.00 90.00
Element x y z (fractional)
Sc 0.000 0.000 0.000
Ti 0.000 0.000 0.500
Mo 0.000 0.500 0.000
Mo 0.500 0.000 0.000
As 0.500 0.500 0.500

=====

Entry 14:
VASP calculation (GGA-PBE) on crystalline Sc2VMoAs at its relaxed geometry.

Results
ΔH_f (0 K) = 0.784 eV per atom

a b c (Å): 4.766 4.766 4.650
angles (deg): 90.00 90.00 90.00
Element x y z (fractional)
Sc 0.000 0.500 0.000
Sc 0.500 0.000 0.000
V 0.000 0.000 0.000
Mo 0.500 0.500 0.500
As 0.000 0.000 0.500

=====

Entry 15:
VASP calculation (GGA-PBE) on crystalline MoAsSe2 at its relaxed geometry.

Results
Uncorrected formation energy = 13 meV/atom

a b c (Å): 3.309 3.309 7.378
angles (deg): 90.00 90.00 90.00
Element x y z (fractional)
Mo 0.000 0.000 0.000
As 0.500 0.500 0.811
Se 0.000 0.000 0.628
Se 0.500 0.500 0.197

=====

Entry 16:
VASP calculation (GGA-PBE) on crystalline MoAs4Se at its relaxed geometry.

Results
Uncorrected formation energy = 792 meV/atom

a b c (Å): 5.500 5.500 5.500
angles (deg): 60.00 60.00 60.00
Element x y z (fractional)
Mo 0.000 0.000 0.000
As 0.376 0.376 0.376
As 0.376 0.376 0.871
As 0.376 0.871 0.376
As 0.871 0.376 0.376
Se 0.750 0.750 0.750

=====

Entry 17:
VASP calculation (GGA-PBE) on crystalline MoAsSe2 at its relaxed geometry.

Results
Uncorrected formation energy = 556 meV/atom

a b c (Å): 3.334 4.212 5.257
angles (deg): 90.00 90.00 90.00
Element x y z (fractional)
Mo 0.000 0.000 0.000
As 0.500 0.000 0.500
Se 0.000 0.500 0.500
Se 0.500 0.500 0.000

=====

Entry 18:
VASP calculation (GGA-PBE) on crystalline MoAsSe4 at its relaxed geometry.

Results
Uncorrected formation energy = 1070 meV/atom

a b c (Å): 5.619 5.619 5.619
angles (deg): 60.00 60.00 60.00
Element x y z (fractional)
Mo 0.000 0.000 0.000
As 0.250 0.250 0.250
Se 0.122 0.626 0.626
Se 0.626 0.122 0.626
Se 0.626 0.626 0.122
Se 0.626 0.626 0.626

=====

Entry 19:
VASP calculation (GGA-PBE) on crystalline Mo2AsSe at its relaxed geometry.

Results
ΔE to the lowest computed polymorph = 0.1102 eV per atom
Uncorrected formation energy = 41 meV/atom

a b c (Å): 4.439 4.439 4.439
angles (deg): 60.00 60.00 60.00
Element x y z (fractional)
Mo 0.250 0.250 0.250
Mo 0.750 0.750 0.750
As 0.000 0.000 0.000
Se 0.500 0.500 0.500

=====

Entry 20:
VASP calculation (GGA-PBE) on crystalline Mo2AsSe at its relaxed geometry.

Results
ΔE to the lowest computed polymorph = 0.0387 eV per atom
Uncorrected formation energy = -31 meV/atom

a b c (Å): 9.736 9.736 9.736
angles (deg): 18.26 18.26 18.26
Element x y z (fractional)
Mo 0.000 0.000 0.000
Mo 0.257 0.257 0.257
As 0.525 0.525 0.525
Se 0.728 0.728 0.728

=====

Entry 21:
VASP calculation (GGA-PBE) on crystalline MoAsSe2 at its relaxed geometry.

Results
Uncorrected formation energy = -64 meV/atom

a b c (Å): 9.178 9.178 9.178
angles (deg): 20.30 20.30 20.30
Element x y z (fractional)
Mo 0.000 0.000 0.000
As 0.736 0.736 0.736
Se 0.270 0.270 0.270
Se 0.478 0.478 0.478

=====

Entry 22:
VASP calculation (GGA-PBE) on crystalline MoAsSe2 at its relaxed geometry.

Results
Uncorrected formation energy = 372 meV/atom

a b c (Å): 2.917 2.917 10.831
angles (deg): 90.00 90.00 115.17
Element x y z (fractional)
Mo 0.000 0.000 0.000
As 0.000 0.000 0.500
Se 0.500 0.500 0.190
Se 0.500 0.500 0.810

=====

Entry 23:
VASP calculation (GGA-PBE) on crystalline MoAs3Se at its relaxed geometry.

Results
ΔE to the lowest computed polymorph = 0.8545 eV per atom
Uncorrected formation energy = 1278 meV/atom

a b c (Å): 4.919 4.919 4.919
angles (deg): 90.00 90.00 90.00
Element x y z (fractional)
Mo 0.000 0.000 0.000
As 0.000 0.500 0.500
As 0.500 0.000 0.500
As 0.500 0.500 0.000
Se 0.500 0.500 0.500

=====

Entry 24:
VASP calculation (GGA-PBE) on crystalline MoAsSe2 at its relaxed geometry.

Results
Uncorrected formation energy = 346 meV/atom

a b c (Å): 4.718 4.718 4.718
angles (deg): 110.21 110.21 108.01
Element x y z (fractional)
Mo 0.000 0.000 0.000
As 0.500 0.500 0.000
Se 0.000 0.500 0.500
Se 0.500 0.000 0.500

=====

Entry 25:
VASP calculation (GGA-PBE) on crystalline Mo2AsSe at its relaxed geometry.

Results
ΔE to the lowest computed polymorph = 0.0916 eV per atom
Uncorrected formation energy = 22 meV/atom

a b c (Å): 3.142 3.142 6.302
angles (deg): 90.00 90.00 90.00
Element x y z (fractional)
Mo 0.000 0.000 0.237
Mo 0.000 0.000 0.763
As 0.500 0.500 0.000
Se 0.500 0.500 0.500

=====

Entry 26:
VASP calculation (GGA-PBE) on crystalline MoAsSe2 at its relaxed geometry.

Results
Uncorrected formation energy = 641 meV/atom

a b c (Å): 8.560 8.560 8.560
angles (deg): 23.25 23.25 23.25
Element x y z (fractional)
Mo 0.000 0.000 0.000
As 0.500 0.500 0.500
Se 0.096 0.096 0.096
Se 0.904 0.904 0.904

=====

Entry 27:
VASP calculation (GGA-PBE) on crystalline MoAsSe2 at its relaxed geometry.

Results
Uncorrected formation energy = -55 meV/atom

a b c (Å): 9.134 9.134 9.134
angles (deg): 20.62 20.62 20.62
Element x y z (fractional)
Mo 0.000 0.000 0.000
As 0.500 0.500 0.500
Se 0.398 0.398 0.398
Se 0.602 0.602 0.602

=====

Entry 28:
VASP calculation (GGA-PBE) on crystalline MoAsSe2 at its relaxed geometry.

Results
Uncorrected formation energy = 393 meV/atom

a b c (Å): 2.702 4.297 6.687
angles (deg): 90.00 91.00 90.00
Element x y z (fractional)
Mo 0.000 0.000 0.000
As 0.000 0.000 0.500
Se 0.149 0.500 0.774
Se 0.851 0.500 0.226

=====

Entry 29:
VASP calculation (GGA-PBE) on crystalline MoAsSe2 at its relaxed geometry.

Results
Uncorrected formation energy = 254 meV/atom

a b c (Å): 2.872 2.872 10.308
angles (deg): 90.00 90.00 109.61
Element x y z (fractional)
Mo 0.000 0.000 0.000
As 0.500 0.500 0.196
Se 0.000 0.000 0.494
Se 0.500 0.500 0.803

=====

Entry 30:
VASP calculation (GGA-PBE) on crystalline MoAsSe2 at its relaxed geometry.

Results
Uncorrected formation energy = 438 meV/atom

a b c (Å): 4.712 4.712 3.204
angles (deg): 90.00 90.00 90.00
Element x y z (fractional)
Mo 0.000 0.000 0.000
As 0.500 0.500 0.000
Se 0.000 0.500 0.500
Se 0.500 0.000 0.500